{"formula": "TeHRu2", "functional": "PBE", "state": "optimized geometry", "lattice": [[-2.4983, 2.4983, 4.6820], [2.4983, -2.4983, 4.6820], [2.4983, 2.4983, -4.6820]], "species": ["Te", "Te", "H", "H", "Ru", "Ru", "Ru", "Ru"], "fractional_positions": [[0.0000, 0.0000, 0.0000], [0.7500, 0.2500, 0.5000], [0.2500, 0.7500, 0.5000], [0.5000, 0.5000, 0.0000], [0.2644, 0.6250, 0.1394], [0.3750, 0.5144, 0.6394], [0.4856, 0.1250, 0.8606], [0.8750, 0.7356, 0.3606]], "polymorph_energy_ev_per_atom": 0.000, "e_tot_ev_per_fu": -23.94}